[1]
# CuHRu2Rh, relaxed, DFT PBE
# Energy relative to the lowest polymorph listed for this composition = 0.00 eV per formula unit
data_CuHRu2Rh
_cell_length_a 3.8413
_cell_length_b 3.8413
_cell_length_c 3.9226
_cell_angle_alpha 90.00
_cell_angle_beta 90.00
_cell_angle_gamma 90.00
_symmetry_space_group_name_H-M 'P 1'
_symmetry_Int_Tables_number 1
loop_
_symmetry_equiv_pos_as_xyz
'x,y,z'
loop_
_atom_site_label
_atom_site_fract_x
_atom_site_fract_y
_atom_site_fract_z
Cu1 0.5000 0.5000 0.5000
Rh1 0.0000 0.0000 0.5000
H1 0.0000 0.0000 0.0000
Ru1 0.0000 0.5000 0.0000
Ru2 0.5000 0.0000 0.0000



[2]
# CuSbHRh2, relaxed, DFT PBE
# E_tot = -5.434 eV per atom
data_CuSbHRh2
_cell_length_a 4.0842
_cell_length_b 4.0842
_cell_length_c 3.7872
_cell_angle_alpha 90.00
_cell_angle_beta 90.00
_cell_angle_gamma 90.00
_symmetry_space_group_name_H-M 'P 1'
_symmetry_Int_Tables_number 1
loop_
_symmetry_equiv_pos_as_xyz
'x,y,z'
loop_
_atom_site_label
_atom_site_fract_x
_atom_site_fract_y
_atom_site_fract_z
Rh1 0.5000 0.0000 0.0000
Rh2 0.0000 0.5000 0.0000
Cu1 0.0000 0.0000 0.5000
Sb1 0.5000 0.5000 0.5000
H1 0.0000 0.0000 0.0000



[3]
# ScCu2HRh, relaxed, DFT PBE
# Energy relative to the lowest polymorph listed for this composition = 0.30 eV per formula unit
data_ScCu2HRh
_cell_length_a 3.8713
_cell_length_b 3.8713
_cell_length_c 4.0496
_cell_angle_alpha 90.00
_cell_angle_beta 90.00
_cell_angle_gamma 90.00
_symmetry_space_group_name_H-M 'P 1'
_symmetry_Int_Tables_number 1
loop_
_symmetry_equiv_pos_as_xyz
'x,y,z'
loop_
_atom_site_label
_atom_site_fract_x
_atom_site_fract_y
_atom_site_fract_z
Rh1 0.0000 0.0000 0.5000
Cu1 0.0000 0.5000 0.0000
Cu2 0.5000 0.0000 0.0000
H1 0.0000 0.0000 0.0000
Sc1 0.5000 0.5000 0.5000



[4]
# ScCuHRh2, relaxed, DFT PBE
# Energy relative to the lowest polymorph listed for this composition = 0.00 eV per formula unit
data_ScCuHRh2
_cell_length_a 4.0502
_cell_length_b 4.0502
_cell_length_c 3.7444
_cell_angle_alpha 90.00
_cell_angle_beta 90.00
_cell_angle_gamma 90.00
_symmetry_space_group_name_H-M 'P 1'
_symmetry_Int_Tables_number 1
loop_
_symmetry_equiv_pos_as_xyz
'x,y,z'
loop_
_atom_site_label
_atom_site_fract_x
_atom_site_fract_y
_atom_site_fract_z
H1 0.0000 0.0000 0.0000
Rh1 0.5000 0.0000 0.0000
Rh2 0.0000 0.5000 0.0000
Cu1 0.0000 0.0000 0.5000
Sc1 0.5000 0.5000 0.5000



[5]
# ScCuHRh2, relaxed, DFT PBE
# Energy relative to the lowest polymorph listed for this composition = 0.20 eV per formula unit
data_ScCuHRh2
_cell_length_a 3.9314
_cell_length_b 3.9314
_cell_length_c 4.0215
_cell_angle_alpha 90.00
_cell_angle_beta 90.00
_cell_angle_gamma 90.00
_symmetry_space_group_name_H-M 'P 1'
_symmetry_Int_Tables_number 1
loop_
_symmetry_equiv_pos_as_xyz
'x,y,z'
loop_
_atom_site_label
_atom_site_fract_x
_atom_site_fract_y
_atom_site_fract_z
Sc1 0.0000 0.0000 0.5000
Cu1 0.5000 0.5000 0.5000
Rh1 0.0000 0.5000 0.0000
Rh2 0.5000 0.0000 0.0000
H1 0.0000 0.0000 0.0000



[6]
# ScCuH8Rh4, relaxed, DFT PBE
# E_tot = -4.913 eV per atom
data_ScCuH8Rh4
_cell_length_a 5.6993
_cell_length_b 5.6993
_cell_length_c 5.4087
_cell_angle_alpha 58.21
_cell_angle_beta 58.21
_cell_angle_gamma 60.00
_symmetry_space_group_name_H-M 'P 1'
_symmetry_Int_Tables_number 1
loop_
_symmetry_equiv_pos_as_xyz
'x,y,z'
loop_
_atom_site_label
_atom_site_fract_x
_atom_site_fract_y
_atom_site_fract_z
H1 0.2363 0.2363 0.2911
H2 0.7134 0.7134 0.3193
H3 0.2539 0.7134 0.3193
H4 0.2207 0.2207 0.7205
H5 0.8381 0.2207 0.7205
H6 0.7696 0.7696 0.6912
H7 0.7134 0.2539 0.3193
H8 0.2207 0.8381 0.7205
Rh1 0.6307 0.6307 0.1080
Rh2 0.0022 0.4993 0.4963
Rh3 0.4993 0.0022 0.4963
Rh4 0.0022 0.0022 0.4963
Cu1 0.9943 0.9943 0.0172
Sc1 0.4052 0.4052 0.7845



[7]
# ScCu2HRh, relaxed, DFT PBE
# Energy relative to the lowest polymorph listed for this composition = 0.00 eV per formula unit
data_ScCu2HRh
_cell_length_a 3.7524
_cell_length_b 3.7524
_cell_length_c 4.2799
_cell_angle_alpha 90.00
_cell_angle_beta 90.00
_cell_angle_gamma 90.00
_symmetry_space_group_name_H-M 'P 1'
_symmetry_Int_Tables_number 1
loop_
_symmetry_equiv_pos_as_xyz
'x,y,z'
loop_
_atom_site_label
_atom_site_fract_x
_atom_site_fract_y
_atom_site_fract_z
Sc1 0.0000 0.0000 0.5000
Rh1 0.5000 0.5000 0.5000
H1 0.0000 0.0000 0.0000
Cu1 0.0000 0.5000 0.0000
Cu2 0.5000 0.0000 0.0000



[8]
# CuHRh2Se, relaxed, DFT PBE
# E_tot = -5.039 eV per atom
data_CuHRh2Se
_cell_length_a 4.0917
_cell_length_b 3.6277
_cell_length_c 4.0917
_cell_angle_alpha 90.00
_cell_angle_beta 90.00
_cell_angle_gamma 90.00
_symmetry_space_group_name_H-M 'P 1'
_symmetry_Int_Tables_number 1
loop_
_symmetry_equiv_pos_as_xyz
'x,y,z'
loop_
_atom_site_label
_atom_site_fract_x
_atom_site_fract_y
_atom_site_fract_z
Rh1 0.5000 0.0000 0.0000
Rh2 0.0000 0.0000 0.5000
H1 0.0000 0.0000 0.0000
Cu1 0.0000 0.5000 0.0000
Se1 0.5000 0.5000 0.5000